Entry 1:
Material: TeIBr2
Method: DFT, GGA-PBE
State: optimized geometry

## Properties
* E_tot: -1.525 eV per atom
* relative energy among the computed polymorphs: 0.668 eV/atom
* DOS(E_F): 1.074 states/eV/atom
* V: 116 Å³/cell
* space-group type: Fm-3m
* formation energy from raw total energies: 46.8 kJ/mol of atoms

Lattice parameters (Å, degrees): 5.4755 5.4755 5.4755 60.00 60.00 60.00
Closest atoms and distances in Å follow each position.
Fractional coordinates of all 4 atoms:
Te 0.0000 0.0000 0.0000  8 Br 3.35
I 0.5000 0.5000 0.5000  8 Br 3.35
Br 0.2500 0.2500 0.2500  4 Te 3.35, 4 I 3.35
Br 0.7500 0.7500 0.7500  4 Te 3.35, 4 I 3.35

=====

Entry 2:
Material: TeIBr2
Method: DFT, GGA-PBE
State: optimized geometry

## Properties
* E_tot: -2.193 eV per atom
* relative energy among the computed polymorphs: 0.000 eV/atom
* DOS(E_F): 0.366 states/eV/atom
* V: 670 Å³/cell
* space-group type: Pnna
* formation energy from raw total energies: -17.7 kJ/mol of atoms

Lattice parameters (Å, degrees): 8.2639 6.4518 12.5723 90.00 90.00 90.00
Closest atoms and distances in Å follow each position.
Fractional coordinates of all 16 atoms:
Te 0.2500 0.0000 0.0792  2 Br 2.62
Te 0.2500 0.5000 0.4208  2 Br 2.62
Te 0.7500 0.0000 0.9208  2 Br 2.62
Te 0.7500 0.5000 0.5792  2 Br 2.62
I 0.0699 0.2500 0.2500  2 Te 3.07
I 0.4301 0.7500 0.2500  2 Te 3.07
I 0.5699 0.2500 0.7500  2 Te 3.07
I 0.9301 0.7500 0.7500  2 Te 3.07
Br 0.1142 0.2361 0.9353  1 Te 2.62
Br 0.1142 0.2639 0.5647  1 Te 2.62
Br 0.3858 0.7361 0.5647  1 Te 2.62
Br 0.3858 0.7639 0.9353  1 Te 2.62
Br 0.6142 0.2361 0.0647  1 Te 2.62
Br 0.6142 0.2639 0.4353  1 Te 2.62
Br 0.8858 0.7361 0.4353  1 Te 2.62
Br 0.8858 0.7639 0.0647  1 Te 2.62

=====

Entry 3:
Material: TeI3Br
Method: DFT, GGA-PBE
State: optimized geometry

## Properties
* E_tot: -2.038 eV per atom
* relative energy among the computed polymorphs: 0.000 eV/atom
* DOS(E_F): 0.000 states/eV/atom
* V: 574 Å³/cell
* space-group type: P1
* formation energy from raw total energies: -14.0 kJ/mol of atoms

Lattice parameters (Å, degrees): 6.4112 9.3619 9.5561 90.04 90.06 90.01
Closest atoms and distances in Å follow each position.
Fractional coordinates of all 10 atoms:
Te 0.0000 0.0000 0.0000  1 Br 2.58, 2 I 2.81
Te 0.4995 0.4998 0.7103  1 Br 2.58, 2 I 2.81
I 0.2246 0.2676 0.6825  1 Te 2.81
I 0.2247 0.7320 0.6825  1 Te 2.81
I 0.4117 0.5000 0.0402  1 Te 3.20, 2 I 3.22
I 0.7252 0.2322 0.0278  1 Te 2.81
I 0.7253 0.7678 0.0278  1 Te 2.81
I 0.9111 0.9997 0.6700  1 Te 3.20, 2 I 3.22
Br 0.1295 0.0003 0.2556  1 Te 2.58
Br 0.6281 0.4997 0.4547  1 Te 2.58

=====

Entry 4:
Material: TeIBr
Method: DFT, GGA-PBE
State: optimized geometry

## Properties
* E_tot: -2.205 eV per atom
* relative energy among the computed polymorphs: 0.023 eV/atom
* DOS(E_F): 0.096 states/eV/atom
* V: 273 Å³/cell
* space-group type: P-1
* formation energy from raw total energies: -8.0 kJ/mol of atoms

Lattice parameters (Å, degrees): 4.7946 7.4995 8.1187 73.79 79.24 79.40
Closest atoms and distances in Å follow each position.
Fractional coordinates of all 6 atoms:
Te 0.2470 0.2532 0.9998  2 Br 2.82-2.83, 2 I 2.97
Te 0.7530 0.7468 0.0002  2 Br 2.82-2.83, 2 I 2.97
I 0.4327 0.9226 0.2779  2 Te 2.97
I 0.5673 0.0774 0.7221  2 Te 2.97
Br 0.0614 0.5698 0.7427  2 Te 2.82-2.83
Br 0.9386 0.4302 0.2573  2 Te 2.82-2.83